A plane-wave DFT calculation with PBE-GGA was carried out for an optimized crystal structure of AgAsH6Os.

Computed properties:
- E: -3.34 eV/atom
- Magnetization: 0.00 μB per formula unit
- Calculated density: 9.07 g cm⁻³

Cell lengths 4.6124, 4.6124, 4.6124 Å; angles 60.00, 60.00, 60.00 degrees
With the nearest neighbours (Å) after each atom.
Fractional coordinates of all 9 atoms:
Ag (0.5000, 0.5000, 0.5000)  6 H 1.88
As (0.7500, 0.7500, 0.7500)  12 H 2.32
H (0.7878, 0.2122, 0.2122)  1 Ag 1.88, 4 H 1.96
H (0.2122, 0.7878, 0.2122)  1 Ag 1.88, 4 H 1.96
H (0.7878, 0.7878, 0.2122)  1 Ag 1.88, 4 H 1.96
H (0.2122, 0.2122, 0.7878)  1 Ag 1.88, 4 H 1.96
H (0.2122, 0.7878, 0.7878)  1 Ag 1.88, 4 H 1.96
H (0.7878, 0.2122, 0.7878)  1 Ag 1.88, 4 H 1.96
Os (0.2500, 0.2500, 0.2500)  12 H 2.32

***

A plane-wave DFT calculation with PBE-GGA was carried out for an optimized crystal structure of HfAg2As.

Computed properties:
- E: -5.09 eV/atom
- Magnetization: 0.19 μB per formula unit
- Calculated density: 10.63 g cm⁻³

Cell lengths 4.6970, 4.6970, 4.6970 Å; angles 60.00, 60.00, 60.00 degrees
With the nearest neighbours (Å) after each atom.
Fractional coordinates of all 4 atoms:
Ag (0.0000, 0.0000, 0.0000)  4 Hf 2.88, 4 Ag 2.88
Ag (0.7500, 0.7500, 0.7500)  4 As 2.88, 4 Ag 2.88
As (0.5000, 0.5000, 0.5000)  4 Hf 2.88, 4 Ag 2.88
Hf (0.2500, 0.2500, 0.2500)  4 As 2.88, 4 Ag 2.88

***

A plane-wave DFT calculation with PBE-GGA was carried out for an optimized crystal structure of HfAg2As2.

Computed properties:
- E: -4.96 eV/atom
- Magnetization: 0.00 μB per formula unit
- Calculated density: 9.75 g cm⁻³
- E above lowest polymorph: 0 meV/atom

Cell lengths 6.8280, 6.8280, 6.8280 Å; angles 147.28, 147.28, 46.95 degrees
With the nearest neighbours (Å) after each atom.
Fractional coordinates of all 5 atoms:
Ag (0.7500, 0.2500, 0.5000)  4 As 2.70, 4 Ag 2.72
Ag (0.2500, 0.7500, 0.5000)  4 As 2.70, 4 Ag 2.72
As (0.4010, 0.4010, 0.0000)  1 As 2.48, 4 Ag 2.70
As (0.5990, 0.5990, 0.0000)  1 As 2.48, 4 Ag 2.70
Hf (0.0000, 0.0000, 0.0000)  8 As 2.99

***

A plane-wave DFT calculation with PBE-GGA was carried out for an optimized crystal structure of HfNiAgAs.

Computed properties:
- E: -5.86 eV/atom
- Magnetization: 0.01 μB per formula unit
- Calculated density: 10.56 g cm⁻³

Cell lengths 4.5371, 4.5371, 4.5371 Å; angles 60.00, 60.00, 60.00 degrees
With the nearest neighbours (Å) after each atom.
Fractional coordinates of all 4 atoms:
Ag (0.5000, 0.5000, 0.5000)  4 Ni 2.78, 4 Hf 2.78
As (0.0000, 0.0000, 0.0000)  4 Ni 2.78, 4 Hf 2.78
Hf (0.2500, 0.2500, 0.2500)  4 Ag 2.78, 4 As 2.78
Ni (0.7500, 0.7500, 0.7500)  4 Ag 2.78, 4 As 2.78

***

A plane-wave DFT calculation with PBE-GGA was carried out for an optimized crystal structure of Ag2HgAs.

Computed properties:
- E: -2.39 eV/atom
- Calculated density: 10.43 g cm⁻³

Cell lengths 4.7999, 4.7999, 4.7999 Å; angles 60.00, 60.00, 60.00 degrees
With the nearest neighbours (Å) after each atom.
Fractional coordinates of all 4 atoms:
Ag (0.0000, 0.0000, 0.0000)  4 Hg 2.94, 4 Ag 2.94
Ag (0.7500, 0.7500, 0.7500)  4 As 2.94, 4 Ag 2.94
As (0.5000, 0.5000, 0.5000)  4 Ag 2.94, 4 Hg 2.94
Hg (0.2500, 0.2500, 0.2500)  4 Ag 2.94, 4 As 2.94

***

A plane-wave DFT calculation with PBE-GGA was carried out for an optimized crystal structure of Ag2HgAs2.

Computed properties:
- E: -2.81 eV/atom
- Calculated density: 8.41 g cm⁻³

Cell lengths 8.1815, 8.1815, 6.7397 Å; angles 90.00, 90.00, 150.30 degrees
With the nearest neighbours (Å) after each atom.
Fractional coordinates of all 10 atoms:
Ag (0.1984, 0.8016, 0.1019)  5 As 2.62-2.68, 1 Ag 2.82
Ag (0.9084, 0.0916, 0.2673)  3 As 2.70-2.83, 1 Ag 2.82, 2 Hg 2.96
Ag (0.8016, 0.1984, 0.6019)  5 As 2.62-2.68, 1 Ag 2.82
Ag (0.0916, 0.9084, 0.7673)  3 As 2.70-2.83, 1 Ag 2.82, 2 Hg 2.96
As (0.5947, 0.4053, 0.0490)  4 Ag 2.68-2.83, 2 Hg 2.77-2.80
As (0.2142, 0.7858, 0.4888)  4 Ag 2.62-2.70
As (0.4053, 0.5947, 0.5490)  4 Ag 2.68-2.83, 2 Hg 2.77-2.80
As (0.7858, 0.2142, 0.9888)  4 Ag 2.62-2.70
Hg (0.5779, 0.4221, 0.4587)  4 As 2.77-3.01, 2 Ag 2.96
Hg (0.4221, 0.5779, 0.9587)  4 As 2.77-3.01, 2 Ag 2.96

***

A plane-wave DFT calculation with PBE-GGA was carried out for an optimized crystal structure of AgHgAs2.

Computed properties:
- E: -2.73 eV/atom
- Calculated density: 9.27 g cm⁻³

Cell lengths 4.8787, 4.8787, 4.8787 Å; angles 60.00, 60.00, 60.00 degrees
With the nearest neighbours (Å) after each atom.
Fractional coordinates of all 4 atoms:
Ag (0.7500, 0.7500, 0.7500)  4 As 2.99, 4 Hg 2.99
As (0.2500, 0.2500, 0.2500)  4 Hg 2.99, 4 As 2.99
As (0.5000, 0.5000, 0.5000)  4 As 2.99, 4 Ag 2.99
Hg (0.0000, 0.0000, 0.0000)  4 As 2.99, 4 Ag 2.99

***

A plane-wave DFT calculation with PBE-GGA was carried out for an optimized crystal structure of NiAgHgAs.

Computed properties:
- E: -2.96 eV/atom
- Magnetization: 0.03 μB per formula unit
- Calculated density: 10.43 g cm⁻³

Cell lengths 4.6346, 4.6346, 4.6346 Å; angles 60.00, 60.00, 60.00 degrees
With the nearest neighbours (Å) after each atom.
Fractional coordinates of all 4 atoms:
Ag (0.5000, 0.5000, 0.5000)  4 Ni 2.84, 4 Hg 2.84
As (0.0000, 0.0000, 0.0000)  4 Ni 2.84, 4 Hg 2.84
Hg (0.2500, 0.2500, 0.2500)  4 Ag 2.84, 4 As 2.84
Ni (0.7500, 0.7500, 0.7500)  4 As 2.84, 4 Ag 2.84

***

A plane-wave DFT calculation with PBE-GGA was carried out for an optimized crystal structure of Ho2ZnAgAs2O2.

Computed properties:
- E: -5.80 eV/atom
- Magnetization: 0.00 μB per formula unit
- Calculated density: 8.12 g cm⁻³

Cell lengths 3.9179, 3.9179, 9.1251 Å; angles 90.00, 90.00, 90.00 degrees
With the nearest neighbours (Å) after each atom.
Fractional coordinates of all 8 atoms:
Ag (0.0000, 0.0000, 0.0000)  4 As 2.64, 4 Zn 2.77
As (0.0000, 0.5000, 0.1935)  2 Zn 2.64, 2 Ag 2.64
As (0.5000, 0.0000, 0.8065)  2 Zn 2.64, 2 Ag 2.64
Ho (0.5000, 0.0000, 0.3815)  4 O 2.24
Ho (0.0000, 0.5000, 0.6185)  4 O 2.24
O (0.0000, 0.0000, 0.5000)  4 Ho 2.24
O (0.5000, 0.5000, 0.5000)  4 Ho 2.24
Zn (0.5000, 0.5000, 0.0000)  4 As 2.64, 4 Ag 2.77

***

A plane-wave DFT calculation with PBE-GGA was carried out for an optimized crystal structure of PrHoAg2As4.

Computed properties:
- E: -4.95 eV/atom
- Magnetization: 0.00 μB per formula unit
- Calculated density: 8.02 g cm⁻³

Cell lengths 4.0372, 4.0372, 10.4381 Å; angles 90.00, 90.00, 90.00 degrees
With the nearest neighbours (Å) after each atom.
Fractional coordinates of all 8 atoms:
Ag (0.5000, 0.0000, 0.9950)  4 As 2.78-2.79, 4 Ag 2.85
Ag (0.0000, 0.5000, 0.9950)  4 As 2.78-2.79, 4 Ag 2.85
As (0.0000, 0.0000, 0.1776)  4 Ag 2.78, 4 Pr 3.03
As (0.5000, 0.0000, 0.5089)  4 As 2.85, 2 Ho 3.06, 2 Pr 3.17
As (0.0000, 0.5000, 0.5089)  4 As 2.85, 2 Ho 3.06, 2 Pr 3.17
As (0.5000, 0.5000, 0.8109)  4 Ag 2.79, 4 Ho 2.98
Ho (0.0000, 0.0000, 0.7287)  8 As 2.98-3.06
Pr (0.5000, 0.5000, 0.2750)  8 As 3.03-3.17

***

A plane-wave DFT calculation with PBE-GGA was carried out for an optimized crystal structure of YHoAg2As4.

Computed properties:
- E: -5.16 eV/atom
- Magnetization: 0.01 μB per formula unit
- Calculated density: 7.80 g cm⁻³

Cell lengths 3.9899, 3.9899, 10.2926 Å; angles 90.00, 90.00, 90.00 degrees
With the nearest neighbours (Å) after each atom.
Fractional coordinates of all 8 atoms:
Ag (0.5000, 0.0000, 0.9991)  4 As 2.79, 4 Ag 2.82
Ag (0.0000, 0.5000, 0.9991)  4 As 2.79, 4 Ag 2.82
As (0.0000, 0.0000, 0.1888)  4 Ag 2.79, 4 Y 2.96
As (0.5000, 0.0000, 0.5015)  4 As 2.82, 2 Ho 3.05, 2 Y 3.07
As (0.0000, 0.5000, 0.5015)  4 As 2.82, 2 Ho 3.05, 2 Y 3.07
As (0.5000, 0.5000, 0.8094)  4 Ag 2.79, 4 Ho 2.95
Ho (0.0000, 0.0000, 0.7257)  8 As 2.95-3.05
Y (0.5000, 0.5000, 0.2750)  8 As 2.96-3.07

***

A plane-wave DFT calculation with PBE-GGA was carried out for an optimized crystal structure of Ag13As3I4O12.

Computed properties:
- E: -4.16 eV/atom
- Calculated density: 6.63 g cm⁻³

Cell lengths 9.2520, 7.1282, 17.6855 Å; angles 90.00, 90.96, 90.00 degrees
With the nearest neighbours (Å) after each atom.
Fractional coordinates of all 64 atoms:
Ag (0.7223, 0.5059, 0.0701)  2 O 2.34-2.36
Ag (0.7223, 0.9941, 0.0701)  2 O 2.34-2.36
Ag (0.0870, 0.7500, 0.0927)  3 O 2.28-2.50
Ag (0.3754, 0.0208, 0.1513)  2 O 2.34-2.37
Ag (0.3754, 0.4792, 0.1513)  2 O 2.34-2.37
Ag (0.0218, 0.5404, 0.2432)  3 O 2.37-2.46
Ag (0.0218, 0.9596, 0.2432)  3 O 2.37-2.46
Ag (0.6006, 0.0439, 0.3331)  2 O 2.32-2.37
Ag (0.6006, 0.4561, 0.3331)  2 O 2.32-2.37
Ag (0.2967, 0.2500, 0.3369)  3 O 2.44-2.45
Ag (0.9500, 0.7500, 0.3800)  4 O 2.41-2.59
Ag (0.2362, 0.0190, 0.4766)  3 O 2.34-2.40
Ag (0.2362, 0.4810, 0.4766)  3 O 2.34-2.40
Ag (0.7638, 0.5190, 0.5234)  3 O 2.34-2.40
Ag (0.7638, 0.9810, 0.5234)  3 O 2.34-2.40
Ag (0.0500, 0.2500, 0.6200)  4 O 2.41-2.59
Ag (0.7033, 0.7500, 0.6631)  3 O 2.44-2.45
Ag (0.3994, 0.5439, 0.6669)  2 O 2.32-2.37
Ag (0.3994, 0.9561, 0.6669)  2 O 2.32-2.37
Ag (0.9782, 0.0404, 0.7568)  3 O 2.37-2.46
Ag (0.9782, 0.4596, 0.7568)  3 O 2.37-2.46
Ag (0.6246, 0.5208, 0.8487)  2 O 2.34-2.37
Ag (0.6246, 0.9792, 0.8487)  2 O 2.34-2.37
Ag (0.9130, 0.2500, 0.9073)  3 O 2.28-2.50
Ag (0.2777, 0.0059, 0.9299)  2 O 2.34-2.36
Ag (0.2777, 0.4941, 0.9299)  2 O 2.34-2.36
As (0.0689, 0.2500, 0.0721)  4 O 1.72-1.73
As (0.3148, 0.7500, 0.3216)  4 O 1.72-1.74
As (0.9368, 0.2500, 0.3941)  4 O 1.72-1.74
As (0.0632, 0.7500, 0.6059)  4 O 1.72-1.74
As (0.6852, 0.2500, 0.6784)  4 O 1.72-1.74
As (0.9311, 0.7500, 0.9279)  4 O 1.72-1.73
I (0.4560, 0.7500, 0.0430)  6 Ag 2.83-3.15
I (0.6083, 0.2500, 0.1926)  6 Ag 2.79-3.04
I (0.7780, 0.7500, 0.2191)  2 Ag 2.73
I (0.4846, 0.2500, 0.4629)  5 Ag 2.80-2.94
I (0.5154, 0.7500, 0.5371)  5 Ag 2.80-2.94
I (0.2220, 0.2500, 0.7809)  2 Ag 2.73
I (0.3917, 0.7500, 0.8074)  6 Ag 2.79-3.04
I (0.5440, 0.2500, 0.9570)  6 Ag 2.83-3.15
O (0.8567, 0.7500, 0.0171)  1 As 1.73
O (0.8836, 0.2500, 0.0614)  1 As 1.72
O (0.1285, 0.0560, 0.1226)  1 As 1.73
O (0.1285, 0.4440, 0.1226)  1 As 1.73
O (0.2732, 0.5493, 0.2702)  1 As 1.74
O (0.2732, 0.9507, 0.2702)  1 As 1.74
O (0.0365, 0.2500, 0.3116)  1 As 1.74
O (0.4960, 0.7500, 0.3445)  1 As 1.72
O (0.8300, 0.0492, 0.3954)  1 As 1.74
O (0.8300, 0.4508, 0.3954)  1 As 1.74
O (0.2081, 0.7500, 0.4018)  1 As 1.74
O (0.0472, 0.2500, 0.4735)  1 As 1.72
O (0.9528, 0.7500, 0.5265)  1 As 1.72
O (0.7919, 0.2500, 0.5982)  1 As 1.74
O (0.1700, 0.5492, 0.6046)  1 As 1.74
O (0.1700, 0.9508, 0.6046)  1 As 1.74
O (0.5040, 0.2500, 0.6555)  1 As 1.72
O (0.9635, 0.7500, 0.6884)  1 As 1.74
O (0.7268, 0.0493, 0.7298)  1 As 1.74
O (0.7268, 0.4507, 0.7298)  1 As 1.74
O (0.8715, 0.5560, 0.8774)  1 As 1.73
O (0.8715, 0.9440, 0.8774)  1 As 1.73
O (0.1164, 0.7500, 0.9386)  1 As 1.72
O (0.1433, 0.2500, 0.9829)  1 As 1.73

***

What did the fourth record say?
A plane-wave DFT calculation with PBE-GGA was carried out for an optimized crystal structure of HfNiAgAs.

Computed properties:
- E: -5.86 eV/atom
- Magnetization: 0.01 μB per formula unit
- Calculated density: 10.56 g cm⁻³

Cell lengths 4.5371, 4.5371, 4.5371 Å; angles 60.00, 60.00, 60.00 degrees
With the nearest neighbours (Å) after each atom.
Fractional coordinates of all 4 atoms:
Ag (0.5000, 0.5000, 0.5000)  4 Ni 2.78, 4 Hf 2.78
As (0.0000, 0.0000, 0.0000)  4 Ni 2.78, 4 Hf 2.78
Hf (0.2500, 0.2500, 0.2500)  4 Ag 2.78, 4 As 2.78
Ni (0.7500, 0.7500, 0.7500)  4 Ag 2.78, 4 As 2.78